No. 1
First-principles (PBE) data for a relaxed structure of LiTl2Cl, as listed in the Alexandria database. Values from VASP.

Output
**Uncorrected formation energy**: -0.281 eV per atom
**Space-group type**: F-43m
**M_tot**: 0.013 μB per cell

```
&SYSTEM
  ibrav = 0, nat = 4, ntyp = 3
/
ATOMIC_SPECIES
Cl 35.45 Cl.upf
Li 6.94 Li.upf
Tl 204.38 Tl.upf
ATOMIC_POSITIONS angstrom
Cl -1.3619 1.4537 6.2865
Li -2.0429 2.1805 9.4298
Tl 0.0000 0.0000 0.0000
Tl -0.6810 0.7268 3.1433
CELL_PARAMETERS angstrom
-2.3283 3.5798 3.2796
-2.5271 -1.6719 4.4509
2.1316 0.9994 4.8425
```


No. 2
First-principles (PBE) data for a relaxed structure of Na2AlIrO4, as listed in the Alexandria database. Values from VASP.

Output
**Uncorrected formation energy**: -1.566 eV per atom
**Space-group type**: I-4
**M_tot**: 2.004 μB per cell

```
&SYSTEM
  ibrav = 0, nat = 8, ntyp = 4
/
ATOMIC_SPECIES
Na 22.99 Na.upf
Al 26.98 Al.upf
Ir 192.22 Ir.upf
O 16.00 O.upf
ATOMIC_POSITIONS angstrom
Na -3.2619 -0.2958 0.0150
Na 0.0000 0.0000 0.0000
Al -1.5228 0.9305 2.5048
Ir -1.0068 3.1145 0.1190
O -2.2763 1.7796 -0.6353
O -0.3408 1.8249 1.4815
O -2.7910 0.2991 -3.2175
O -3.1293 1.7338 2.6394
CELL_PARAMETERS angstrom
-1.2232 0.9576 -4.8756
-3.7779 -2.4797 2.4007
0.7323 4.3408 2.6089
```


No. 3
First-principles (PBE) data for a relaxed structure of MnRe2BiI, as listed in the Alexandria database. Values from VASP.

Output
**Uncorrected formation energy**: 1.692 eV per atom
**Space-group type**: P4/mmm
**M_tot**: 1.858 μB per cell

```
&SYSTEM
  ibrav = 0, nat = 5, ntyp = 4
/
ATOMIC_SPECIES
I 126.90 I.upf
Re 186.21 Re.upf
Mn 54.94 Mn.upf
Bi 208.98 Bi.upf
ATOMIC_POSITIONS angstrom
I 2.3279 2.5072 2.3279
Re 0.0000 0.0000 2.3279
Re 2.3279 0.0000 0.0000
Mn 0.0000 0.0000 0.0000
Bi 0.0000 2.5072 0.0000
CELL_PARAMETERS angstrom
4.6559 0.0000 0.0000
0.0000 5.0144 0.0000
0.0000 0.0000 4.6559
```


No. 4
First-principles (PBE) data for a relaxed structure of FeRe3Mo, as listed in the Alexandria database. Values from VASP.

Output
**Space-group type**: Pm-3m
**Calculated formation energy**: 1525 meV per atom
**M_tot**: 0.000 μB per cell

```
&SYSTEM
  ibrav = 0, nat = 5, ntyp = 3
/
ATOMIC_SPECIES
Re 186.21 Re.upf
Mo 95.94 Mo.upf
Fe 55.84 Fe.upf
ATOMIC_POSITIONS angstrom
Re 0.9465 -1.7437 -0.9209
Re 1.8754 0.4802 1.0183
Re -0.6096 -1.2302 1.7028
Mo 2.2123 -2.4937 1.8002
Fe 0.0000 0.0000 0.0000
CELL_PARAMETERS angstrom
-1.2191 -2.4604 3.4056
1.8931 -3.4874 -1.8418
3.7507 0.9605 2.0366
```


No. 5
First-principles (PBE) data for a relaxed structure of CsRuPb2Au, as listed in the Alexandria database. Values from VASP.

Output
**Space-group type**: P4/mmm
**Calculated formation energy**: 150 meV per atom
**M_tot**: 0.000 μB per cell

```
&SYSTEM
  ibrav = 0, nat = 5, ntyp = 4
/
ATOMIC_SPECIES
Pb 207.20 Pb.upf
Cs 132.91 Cs.upf
Au 196.97 Au.upf
Ru 101.07 Ru.upf
ATOMIC_POSITIONS angstrom
Pb 1.1449 0.2818 2.3388
Pb -2.1036 1.2929 0.8740
Cs -2.1005 -0.8592 4.0650
Au -1.1418 -2.4339 0.8523
Ru 0.0000 0.0000 0.0000
CELL_PARAMETERS angstrom
-4.2071 2.5857 1.7479
-2.2836 -4.8679 1.7045
2.2898 0.5637 4.6776
```


No. 6
First-principles (PBE) data for a relaxed structure of Th3CoBiSe, as listed in the Alexandria database. Values from VASP.

Output
**Uncorrected formation energy**: -0.710 eV per atom
**Space-group type**: P2_1/m
**M_tot**: 0.000 μB per cell

```
&SYSTEM
  ibrav = 0, nat = 12, ntyp = 4
/
ATOMIC_SPECIES
Th 232.04 Th.upf
Co 58.93 Co.upf
Bi 208.98 Bi.upf
Se 78.96 Se.upf
ATOMIC_POSITIONS angstrom
Th 5.1984 1.9833 5.0982
Th 4.7832 -0.9136 7.5054
Th 1.5756 0.5497 4.9698
Th 0.2865 3.9617 3.7694
Th 3.9094 5.3953 3.8978
Th 0.7018 6.8586 1.3622
Co -0.0419 3.6659 1.0012
Co 5.5269 2.2792 7.8664
Bi 4.6346 4.7392 7.0292
Bi 0.8504 1.2059 1.8384
Se 4.1953 -0.8064 4.5138
Se 1.2897 6.7514 4.3538
CELL_PARAMETERS angstrom
-2.4392 0.2058 3.2044
7.1262 -3.1124 5.6243
0.7980 8.8516 0.0389
```


No. 7
First-principles (PBE) data for a relaxed structure of Sm12Y5Pu, as listed in the Alexandria database. Values from VASP.

Output
**Space-group type**: C2/m
**Calculated formation energy**: 127 meV per atom
**M_tot**: 6.627 μB per cell

```
&SYSTEM
  ibrav = 0, nat = 18, ntyp = 3
/
ATOMIC_SPECIES
Sm 150.36 Sm.upf
Y 88.91 Y.upf
Pu 244.00 Pu.upf
ATOMIC_POSITIONS angstrom
Sm -3.4618 1.3220 9.1539
Sm 1.1577 1.2742 3.0439
Sm -0.1062 2.5428 9.1818
Sm -2.1978 0.0534 3.0159
Sm 1.8930 -2.9096 10.6796
Sm -0.2549 -5.3997 4.5840
Sm -2.4397 -0.0874 14.3919
Sm -4.5876 -2.5775 8.2963
Sm -1.2510 -1.3698 8.3558
Sm -3.5939 -4.0524 13.6157
Sm 0.8993 -1.4346 5.3602
Sm -1.4436 -4.1173 10.6200
Y -1.1520 1.2981 6.0989
Y 0.7969 -4.0932 7.6145
Y -3.4915 -1.3939 11.3614
Y -4.7050 -5.3120 10.5048
Y -2.3521 -2.6569 5.2526
Pu 4.3625 2.4817 3.2185
CELL_PARAMETERS angstrom
-6.6665 0.1145 8.9792
-0.3906 -8.0833 6.7781
4.3625 2.4818 3.2185
```


No. 8
First-principles (PBE) data for a relaxed structure of LiPu3S6, as listed in the Alexandria database. Values from VASP.

Output
**Uncorrected formation energy**: -1.436 eV per atom
**Space-group type**: Cmc2_1
**M_tot**: 8.887 μB per cell

```
&SYSTEM
  ibrav = 0, nat = 20, ntyp = 3
/
ATOMIC_SPECIES
Li 6.94 Li.upf
Pu 244.00 Pu.upf
S 32.06 S.upf
ATOMIC_POSITIONS angstrom
Li 0.0917 0.1255 6.6729
Li 3.3627 6.4766 1.6114
Pu 3.0953 6.4847 5.9339
Pu 6.3663 4.3373 7.6453
Pu 2.5840 2.2008 5.0191
Pu 5.8550 4.4014 3.2653
Pu 6.3663 0.1175 2.3504
Pu 3.0953 2.2649 0.6390
S 1.1854 4.6512 5.2629
S 4.4564 4.0923 5.7083
S 1.3519 2.0911 7.4479
S 4.6229 6.7935 3.7004
S 1.3716 -1.5415 8.0014
S 4.2180 0.4870 6.3849
S 0.9470 6.1152 1.8995
S 4.6426 8.1437 0.2829
S 1.3519 -0.1913 4.5839
S 4.6229 4.5110 0.8364
S 1.1854 2.5099 2.5761
S 4.4564 1.9510 3.0215
CELL_PARAMETERS angstrom
6.5420 0.0000 0.0000
0.0000 8.4033 0.0760
0.0000 -1.8011 8.2084
```


No. 9
First-principles (PBE) data for a relaxed structure of SmY2In4, as listed in the Alexandria database. Values from VASP.

Output
**Space-group type**: I4/mmm
**Calculated formation energy**: -322 meV per atom
**M_tot**: 0.031 μB per cell

```
&SYSTEM
  ibrav = 0, nat = 7, ntyp = 3
/
ATOMIC_SPECIES
Sm 150.36 Sm.upf
Y 88.91 Y.upf
In 114.82 In.upf
ATOMIC_POSITIONS angstrom
Sm 0.0000 0.0000 0.0000
Y -4.3213 0.7787 -2.7987
Y -2.6845 2.5454 0.0819
In -5.8662 1.9190 -0.1121
In -3.9238 4.0451 -2.5197
In -1.1396 1.4052 -2.6047
In -3.0821 -0.7209 -0.1970
CELL_PARAMETERS angstrom
0.2392 0.4224 -5.2863
-3.6458 -3.8298 -0.4710
-3.5992 6.7315 3.0405
```


No. 10
First-principles (PBE) data for a relaxed structure of K3ZnBr, as listed in the Alexandria database. Values from VASP.

Output
**Uncorrected formation energy**: -0.466 eV per atom
**Space-group type**: Pm-3m
**M_tot**: 0.000 μB per cell

```
&SYSTEM
  ibrav = 0, nat = 5, ntyp = 3
/
ATOMIC_SPECIES
Zn 65.41 Zn.upf
K 39.10 K.upf
Br 79.90 Br.upf
ATOMIC_POSITIONS angstrom
Zn 2.7406 -3.7741 -2.9606
K 0.5363 0.1572 -3.1402
K 3.0330 -0.8655 0.4747
K -0.8287 -3.0659 -0.2950
Br 0.0000 0.0000 0.0000
CELL_PARAMETERS angstrom
-1.6574 -6.1317 -0.5900
1.0726 0.3144 -6.2804
6.0660 -1.7310 0.9494
```